Record 1
Below is an optimized crystal structure of Pa2OsF, with properties calculated at the PBE-GGA level.

Unit cell a=4.1216 b=4.1216 c=16.4587 alpha=90.00 beta=90.00 gamma=120.00
With the nearest neighbours (Å) after each atom.
Space group R-3m (No. 166, hexagonal axes)
Inequivalent atoms, fractional coordinates:
Pa1 0.0000 0.0000 0.2447  3 F 2.70, 3 Os 2.79
Os1 0.0000 0.0000 0.0000  6 Pa 2.79
F1 0.0000 0.0000 0.5000  6 Pa 2.70

Record 2
Below is an optimized crystal structure of OsPb2F, with properties calculated at the PBE-GGA level.

Unit cell a=6.7687 b=6.7687 c=6.7687 alpha=90.00 beta=90.00 gamma=90.00
With the nearest neighbours (Å) after each atom.
Space group Fm-3m (No. 225)
Inequivalent atoms, fractional coordinates:
Os1 0.0000 0.0000 0.0000  8 Pb 2.93
Pb1 0.2500 0.2500 0.2500  4 F 2.93, 4 Os 2.93
F1 0.0000 0.0000 0.5000  8 Pb 2.93

Summary:
distance to the lowest polymorph of the same formula = 0.0000 eV/atom

Record 3
Below is an optimized crystal structure of OsPbF2, with properties calculated at the PBE-GGA level.

Unit cell a=6.3967 b=6.3967 c=6.3967 alpha=90.00 beta=90.00 gamma=90.00
With the nearest neighbours (Å) after each atom.
Space group Fm-3m (No. 225)
Inequivalent atoms, fractional coordinates:
Os1 0.0000 0.0000 0.0000  8 F 2.77
Pb1 0.0000 0.0000 0.5000  8 F 2.77
F1 0.2500 0.2500 0.2500  4 Pb 2.77, 4 Os 2.77

Summary:
distance to the lowest polymorph of the same formula = 0.6489 eV/atom

Taking the records one at a time from the top gives energy relative to the elements, uncorrected values of -1.0287 0.0790 0.0165 eV per atom.